DFT (PBE) results for a relaxed Co7W5 crystal.

Cell and atoms, written as POSCAR:
```
Co7W5
1.0
4.896 0.000 0.000
-2.448 4.240 0.000
0.000 0.000 15.624
W Co
10 14
Direct
0.000 0.000 0.414
0.330 0.165 0.750
0.835 0.165 0.750
0.835 0.670 0.750
0.000 0.000 0.586
0.000 0.000 0.914
0.165 0.835 0.250
0.000 0.000 0.086
0.165 0.330 0.250
0.670 0.835 0.250
0.667 0.333 0.619
0.667 0.333 0.345
0.333 0.667 0.381
0.500 0.500 0.000
0.000 0.500 0.000
0.333 0.667 0.119
0.333 0.667 0.845
0.667 0.333 0.881
0.500 0.000 0.500
0.333 0.667 0.655
0.500 0.500 0.500
0.000 0.500 0.500
0.667 0.333 0.155
0.500 0.000 0.000
```

Calculated values
formation energy: 0.42 eV per atom
space group: P6_3/mmc (194)
spin magnetization: 6.22 μB/f.u.
relative energy among the computed polymorphs: 45 meV per atom


DFT (PBE) results for a relaxed Co3W2 crystal.

Cell and atoms, written as POSCAR:
```
Co3W2
1.0
8.860 0.000 0.000
0.000 8.860 0.000
0.000 0.000 4.881
Co W
18 12
Direct
0.937 0.264 0.000
0.000 0.000 0.000
0.870 0.534 0.000
0.370 0.966 0.500
0.966 0.370 0.500
0.264 0.937 0.000
0.130 0.466 0.000
0.236 0.437 0.500
0.466 0.130 0.000
0.563 0.764 0.500
0.736 0.063 0.000
0.500 0.500 0.500
0.063 0.736 0.000
0.534 0.870 0.000
0.034 0.630 0.500
0.764 0.563 0.500
0.437 0.236 0.500
0.630 0.034 0.500
0.186 0.186 0.750
0.606 0.606 0.000
0.314 0.686 0.250
0.814 0.814 0.750
0.394 0.394 0.000
0.314 0.686 0.750
0.686 0.314 0.750
0.106 0.894 0.500
0.814 0.814 0.250
0.894 0.106 0.500
0.686 0.314 0.250
0.186 0.186 0.250
```

Calculated values
formation energy: 0.13 eV per atom
space group: P4_2/mnm (136)
spin magnetization: 1.69 μB/f.u.
relative energy among the computed polymorphs: 0 meV per atom


DFT (PBE) results for a relaxed Co5W8 crystal.

Cell and atoms, written as POSCAR:
```
Co5W8
1.0
2.538 1.465 8.591
-2.538 1.465 8.591
0.000 -2.931 8.591
Co W
5 8
Direct
0.456 0.456 0.456
0.835 0.835 0.835
0.544 0.544 0.544
0.165 0.165 0.165
0.000 0.000 0.000
0.914 0.914 0.417
0.583 0.086 0.086
0.351 0.351 0.351
0.914 0.417 0.914
0.417 0.914 0.914
0.086 0.086 0.583
0.086 0.583 0.086
0.649 0.649 0.649
```

Calculated values
formation energy: 0.39 eV per atom
space group: R-3m (166)
spin magnetization: 1.19 μB/f.u.
relative energy among the computed polymorphs: 0 meV per atom


DFT (PBE) results for a relaxed Co17W12 crystal.

Cell and atoms, written as POSCAR:
```
Co17W12
1.0
-4.592 4.592 4.592
4.592 -4.592 4.592
4.592 4.592 -4.592
Co W
17 12
Direct
0.664 0.000 0.000
0.313 0.725 0.313
0.275 0.587 0.587
0.413 0.000 0.687
0.000 0.000 0.000
0.313 0.313 0.725
0.000 0.664 0.000
0.000 0.687 0.413
0.687 0.000 0.413
0.413 0.687 0.000
0.725 0.313 0.313
0.336 0.336 0.336
0.687 0.413 0.000
0.587 0.275 0.587
0.000 0.000 0.664
0.000 0.413 0.687
0.587 0.587 0.275
0.606 0.606 0.806
0.799 0.799 0.194
0.201 0.394 0.000
0.606 0.806 0.606
0.201 0.000 0.394
0.394 0.000 0.201
0.806 0.606 0.606
0.000 0.394 0.201
0.799 0.194 0.799
0.394 0.201 0.000
0.000 0.201 0.394
0.194 0.799 0.799
```

Calculated values
formation energy: 0.37 eV per atom
space group: I-43m (217)
spin magnetization: 4.22 μB/f.u.
relative energy among the computed polymorphs: 161 meV per atom